Material: Cd2CuSb
Method: DFT, PBE-GGA
State: optimized geometry

a b c (Å): 5.508 5.508 5.508
angles (deg): 134.06 134.06 67.00
Fractional positions:
Sb (0.750, 0.250, 0.500)
Cd (0.000, 0.000, 0.000)
Cu (0.250, 0.750, 0.500)
Cd (0.500, 0.500, 0.000)

## Properties
Space group: I4/mmm, No. 139
Uncorrected formation energy, eV per atom: 0.19
N(E_F), states/eV/cell: 1.9
Mass density, Mg/m³: 8.02

***

Material: CdCuSb
Method: DFT, PBE-GGA
State: optimized geometry

a b c (Å): 4.318 4.318 4.147
angles (deg): 90.00 90.00 120.00
Fractional positions:
Cu (0.667, 0.333, 0.389)
Sb (0.333, 0.667, 0.560)
Cd (0.000, 0.000, 0.051)

## Properties
Space group: P3m1, No. 156
Uncorrected formation energy, eV per atom: 0.14
N(E_F), states/eV/cell: 0.8
Mass density, Mg/m³: 7.38

***

Material: Cd3CuSb
Method: DFT, PBE-GGA
State: optimized geometry

a b c (Å): 5.009 5.009 5.009
angles (deg): 90.00 90.00 90.00
Fractional positions:
Cu (0.000, 0.000, 0.000)
Cd (0.500, 0.000, 0.000)
Cd (0.000, 0.500, 0.000)
Cd (0.000, 0.000, 0.500)
Sb (0.500, 0.500, 0.500)

## Properties
E above lowest polymorph, meV/atom: 0
Space group: Pm-3m, No. 221
Uncorrected formation energy, eV per atom: 0.30
N(E_F), states/eV/cell: 2.6
Mass density, Mg/m³: 6.90

***

Material: CdCu2Sb
Method: DFT, PBE-GGA
State: optimized geometry

a b c (Å): 4.439 4.439 5.711
angles (deg): 78.14 78.14 43.01
Fractional positions:
Cd (0.750, 0.750, 0.750)
Cu (0.001, 0.001, 0.998)
Sb (0.250, 0.250, 0.250)
Cu (0.499, 0.499, 0.502)

## Properties
E above lowest polymorph, meV/atom: 108
Space group: C2/m, No. 12
Uncorrected formation energy, eV per atom: 0.19
N(E_F), states/eV/cell: 1.5
Mass density, Mg/m³: 8.01

***

Material: CdCuSb2
Method: DFT, PBE-GGA
State: optimized geometry

a b c (Å): 3.998 3.998 7.238
angles (deg): 73.98 73.98 60.15
Fractional positions:
Cu (0.250, 0.250, 0.250)
Sb (0.981, 0.981, 0.052)
Cd (0.750, 0.750, 0.750)
Sb (0.519, 0.519, 0.448)

## Properties
Space group: C2/m, No. 12
Uncorrected formation energy, eV per atom: 0.09
N(E_F), states/eV/cell: 1.3
Mass density, Mg/m³: 7.32

***

Material: CdCu2Sb
Method: DFT, PBE-GGA
State: optimized geometry

a b c (Å): 6.458 6.458 6.458
angles (deg): 153.47 140.44 48.27
Fractional positions:
Sb (0.542, 0.542, 0.000)
Cu (0.747, 0.247, 0.500)
Cd (0.277, 0.777, 0.500)
Cu (0.933, 0.933, 0.000)

## Properties
E above lowest polymorph, meV/atom: 69
Space group: Imm2, No. 44
Uncorrected formation energy, eV per atom: 0.15
N(E_F), states/eV/cell: 1.5
Mass density, Mg/m³: 7.86

***

Material: CdCuSb2
Method: DFT, PBE-GGA
State: optimized geometry

a b c (Å): 6.863 5.100 11.632
angles (deg): 90.05 90.00 90.00
Fractional positions:
Sb (0.873, 0.500, 0.173)
Cd (0.448, 0.002, 0.335)
Sb (0.321, 0.503, 0.428)
Sb (0.679, 0.497, 0.572)
Cu (0.930, 0.500, 0.399)
Cu (0.070, 0.000, 0.899)
Sb (0.873, 0.000, 0.327)
Sb (0.127, 0.000, 0.673)
Sb (0.127, 0.500, 0.827)
Cu (0.070, 0.500, 0.601)
Cd (0.448, 0.498, 0.165)
Sb (0.679, 0.003, 0.928)
Cu (0.930, 0.000, 0.101)
Cd (0.552, 0.502, 0.835)
Sb (0.321, 0.997, 0.072)
Cd (0.552, 0.998, 0.665)

## Properties
Space group: P2/c, No. 13
Uncorrected formation energy, eV per atom: 0.09
N(E_F), states/eV/cell: 7.4
Mass density, Mg/m³: 6.84

***

Material: CdCuSb3
Method: DFT, PBE-GGA
State: optimized geometry

a b c (Å): 5.141 5.141 5.141
angles (deg): 90.00 90.00 90.00
Fractional positions:
Cd (0.500, 0.500, 0.500)
Cu (0.000, 0.000, 0.000)
Sb (0.500, 0.000, 0.000)
Sb (0.000, 0.000, 0.500)
Sb (0.000, 0.500, 0.000)

## Properties
E above lowest polymorph, meV/atom: 0
Space group: Pm-3m, No. 221
Uncorrected formation energy, eV per atom: 0.44
N(E_F), states/eV/cell: 4.3
Mass density, Mg/m³: 6.62

***

Material: CdCu2Sb
Method: DFT, PBE-GGA
State: optimized geometry

a b c (Å): 3.928 4.271 4.271
angles (deg): 90.00 90.00 90.00
Fractional positions:
Cd (0.500, 0.500, 0.500)
Cu (0.000, 0.000, 0.500)
Cu (0.000, 0.500, 0.000)
Sb (0.500, 0.000, 0.000)

## Properties
E above lowest polymorph, meV/atom: 100
Space group: P4/mmm, No. 123
Uncorrected formation energy, eV per atom: 0.19
N(E_F), states/eV/cell: 2.0
Mass density, Mg/m³: 8.37

***

Material: CdCuSb2
Method: DFT, PBE-GGA
State: optimized geometry

a b c (Å): 5.497 5.497 5.497
angles (deg): 136.23 122.34 75.10
Fractional positions:
Cd (0.750, 0.250, 0.500)
Sb (0.448, 0.448, 0.000)
Cu (0.250, 0.750, 0.500)
Sb (0.052, 0.052, 0.000)

## Properties
Space group: Immm, No. 71
Uncorrected formation energy, eV per atom: 0.21
N(E_F), states/eV/cell: 1.5
Mass density, Mg/m³: 7.36

***

Material: Cd2CuSb
Method: DFT, PBE-GGA
State: optimized geometry

a b c (Å): 5.021 5.021 6.158
angles (deg): 72.36 72.36 37.89
Fractional positions:
Cd (0.004, 0.004, 0.028)
Cd (0.215, 0.215, 0.325)
Cu (0.476, 0.476, 0.411)
Sb (0.805, 0.805, 0.736)

## Properties
Space group: Cm, No. 8
Uncorrected formation energy, eV per atom: 0.10
N(E_F), states/eV/cell: 1.3
Mass density, Mg/m³: 7.54

***

Material: CdCu2Sb
Method: DFT, PBE-GGA
State: optimized geometry

a b c (Å): 4.050 3.553 5.337
angles (deg): 70.79 90.00 90.00
Fractional positions:
Cu (0.000, 0.200, 0.972)
Cd (0.500, 0.769, 0.833)
Sb (0.000, 0.481, 0.419)
Cu (0.500, 0.050, 0.276)

## Properties
E above lowest polymorph, meV/atom: 0
Space group: Pm, No. 6
Uncorrected formation energy, eV per atom: 0.09
N(E_F), states/eV/cell: 0.5
Mass density, Mg/m³: 8.27

***

Material: CdCuSb2
Method: DFT, PBE-GGA
State: optimized geometry

a b c (Å): 4.148 5.208 4.267
angles (deg): 90.00 90.00 90.00
Fractional positions:
Cd (0.500, 0.000, 0.500)
Sb (0.500, 0.500, 0.000)
Sb (0.000, 0.000, 0.000)
Cu (0.000, 0.500, 0.500)

## Properties
Space group: Pmmm, No. 47
Uncorrected formation energy, eV per atom: 0.28
N(E_F), states/eV/cell: 1.5
Mass density, Mg/m³: 7.56

***

Material: CdCu2Sb
Method: DFT, PBE-GGA
State: optimized geometry

a b c (Å): 3.245 3.245 7.083
angles (deg): 90.00 90.00 90.00
Fractional positions:
Cu (0.000, 0.000, 0.041)
Cu (0.500, 0.500, 0.203)
Cd (0.500, 0.500, 0.814)
Sb (0.000, 0.000, 0.442)

## Properties
E above lowest polymorph, meV/atom: 53
Space group: P4mm, No. 99
Uncorrected formation energy, eV per atom: 0.14
N(E_F), states/eV/cell: 1.1
Mass density, Mg/m³: 8.04

***

Material: CdCu2Sb
Method: DFT, PBE-GGA
State: optimized geometry

a b c (Å): 5.248 5.248 5.248
angles (deg): 134.70 134.70 66.00
Fractional positions:
Sb (0.500, 0.500, 0.000)
Cu (0.000, 0.000, 0.000)
Cd (0.750, 0.250, 0.500)
Cu (0.250, 0.750, 0.500)

## Properties
E above lowest polymorph, meV/atom: 109
Space group: I-4m2, No. 119
Uncorrected formation energy, eV per atom: 0.20
N(E_F), states/eV/cell: 1.5
Mass density, Mg/m³: 8.34

***

Material: Cd2CuSb
Method: DFT, PBE-GGA
State: optimized geometry

a b c (Å): 6.261 6.261 3.356
angles (deg): 73.57 73.57 123.73
Fractional positions:
Cu (0.500, 0.000, 0.500)
Cd (0.000, 0.000, 0.000)
Cd (0.500, 0.500, 0.000)
Sb (0.000, 0.500, 0.500)

## Properties
Space group: C2/m, No. 12
Uncorrected formation energy, eV per atom: 0.19
N(E_F), states/eV/cell: 1.1
Mass density, Mg/m³: 7.78

***

Material: Cd2CuSb
Method: DFT, PBE-GGA
State: optimized geometry

a b c (Å): 4.368 3.866 5.589
angles (deg): 70.58 90.00 90.00
Fractional positions:
Cu (0.500, 0.250, 0.250)
Cd (0.000, 0.419, 0.474)
Sb (0.500, 0.750, 0.750)
Cd (0.000, 0.081, 0.026)

## Properties
Space group: P2/m, No. 10
Uncorrected formation energy, eV per atom: 0.19
N(E_F), states/eV/cell: 1.6
Mass density, Mg/m³: 7.65

***

Material: CdCuSb
Method: DFT, PBE-GGA
State: optimized geometry

a b c (Å): 6.743 6.746 3.145
angles (deg): 76.47 76.56 26.97
Fractional positions:
Sb (0.692, 0.692, 0.308)
Cd (0.971, 0.971, 0.029)
Cu (0.337, 0.337, 0.663)

## Properties
Space group: Fmm2, No. 42
Uncorrected formation energy, eV per atom: 0.16
N(E_F), states/eV/cell: 0.9
Mass density, Mg/m³: 7.85

***

Material: CdCuSb2
Method: DFT, PBE-GGA
State: optimized geometry

a b c (Å): 3.161 3.161 9.098
angles (deg): 90.00 90.00 93.98
Fractional positions:
Sb (0.500, 0.500, 0.270)
Sb (0.000, 0.000, 0.940)
Cu (0.500, 0.500, 0.743)
Cd (0.000, 0.000, 0.547)

## Properties
Space group: Cmm2, No. 35
Uncorrected formation energy, eV per atom: 0.18
N(E_F), states/eV/cell: 1.7
Mass density, Mg/m³: 7.68

***

Material: Cd2CuSb2
Method: DFT, PBE-GGA
State: optimized geometry

a b c (Å): 7.188 7.188 4.693
angles (deg): 90.00 90.00 90.00
Fractional positions:
Sb (0.847, 0.347, 0.500)
Cd (0.842, 0.658, 0.000)
Sb (0.653, 0.847, 0.500)
Cu (0.000, 0.000, 0.000)
Cd (0.158, 0.342, 0.000)
Cd (0.658, 0.158, 0.000)
Sb (0.347, 0.153, 0.500)
Sb (0.153, 0.653, 0.500)
Cu (0.500, 0.500, 0.000)
Cd (0.342, 0.842, 0.000)

## Properties
E above lowest polymorph, meV/atom: 103
Space group: P4/mbm, No. 127
Uncorrected formation energy, eV per atom: 0.30
N(E_F), states/eV/cell: 4.7
Mass density, Mg/m³: 7.28